# 1
Material: PaBAs
Method: DFT, PBE-GGA
State: optimized geometry

VASP energy, Ha/atom: -0.2648
Excess energy over the best structure of this formula in the dataset, meV per atom: 105
Formation energy, eV per atom: -0.265

a b c (Å): 3.8308 3.8308 7.4690
angles (deg): 90.00 90.00 90.00
Last column: nearest neighbours and their distance in Å.
Space group P4/nmm (No. 129, origin choice 2)
One atom of each set of equivalent atoms:
Pa1 0.2500 0.2500 0.1849 x2  5 B 2.45-2.73
B1 0.2500 0.2500 0.8574 x2  1 As 1.97
As1 0.2500 0.2500 0.5937 x2  1 B 1.97

***

# 2
Material: Rb2BBr6F
Method: DFT, PBE-GGA
State: optimized geometry

VASP energy, Ha/atom: -0.1003

a b c (Å): 7.6543 7.6543 10.6049
angles (deg): 90.00 90.00 90.00
Last column: nearest neighbours and their distance in Å.
Space group I4/mmm (No. 139)
One atom of each set of equivalent atoms:
Rb1 0.0000 0.5000 0.2500 x4  12 Br 3.82-3.86
B1 0.0000 0.0000 0.0000 x2  4 Br 2.18
Br1 0.0000 0.0000 0.2955 x4  1 F 2.17
Br2 0.2014 0.2014 0.0000 x8  1 B 2.18
F1 0.0000 0.0000 0.5000 x2  2 Br 2.17

***

# 3
Material: PmNd7Dy3
Method: DFT, PBE-GGA
State: optimized geometry

VASP energy, Ha/atom: -0.1655
Excess energy over the best structure of this formula in the dataset, meV per atom: 0
Formation energy, eV per atom: 0.219

a b c (Å): 5.9462 11.3890 11.4341
angles (deg): 90.00 90.00 90.00
Last column: nearest neighbours and their distance in Å.
Space group Immm (No. 71)
One atom of each set of equivalent atoms:
Pm1 0.0000 0.0000 0.0000 x2  4 Nd 2.97-3.31
Nd1 0.0000 0.1961 0.2932 x8  2 Dy 3.25-3.61, 3 Nd 3.36-3.52
Nd2 0.0000 0.2909 0.0000 x4  1 Pm 3.31, 2 Dy 3.32, 2 Nd 3.52
Nd3 0.0000 0.5000 0.5000 x2  2 Pm 2.97
Dy1 0.0000 0.0000 0.5000 x2  4 Nd 3.25
Dy2 0.0000 0.5000 0.2030 x4  9 Nd 3.32-3.72

***

# 4
Material: Dy5AgHg2Rh2
Method: DFT, PBE-GGA
State: optimized geometry

VASP energy, Ha/atom: -0.1704
Formation energy, eV per atom: -0.521

a b c (Å): 11.6257 11.6257 3.6592
angles (deg): 90.00 90.00 90.00
Last column: nearest neighbours and their distance in Å.
Space group P4/mbm (No. 127)
One atom of each set of equivalent atoms:
Dy1 0.0000 0.5000 0.0000 x2  4 Rh 2.82
Dy2 0.0843 0.2006 0.0000 x8  2 Rh 2.74
Ag1 0.0000 0.0000 0.5000 x2  8 Dy 3.12
Hg1 0.1718 0.6718 0.5000 x4  3 Rh 3.25-3.55, 6 Dy 3.37-3.39
Rh1 0.1305 0.3695 0.5000 x4  6 Dy 2.74-2.82

***

# 5
Material: SmTmSc2
Method: DFT, PBE-GGA
State: optimized geometry

VASP energy, Ha/atom: -0.1984
Excess energy over the best structure of this formula in the dataset, meV per atom: 12
Formation energy, eV per atom: 0.065

a b c (Å): 3.4434 3.4434 32.8213
angles (deg): 90.00 90.00 120.00
Last column: nearest neighbours and their distance in Å.
Space group R3m (No. 160, hexagonal axes)
One atom of each set of equivalent atoms:
Sm1 0.0000 0.0000 0.0000 x3  6 Sc 3.40-3.44, 6 Sm 3.44
Tm1 0.0000 0.0000 0.8343 x3  6 Sc 3.34-3.35, 6 Tm 3.44
Sc1 0.0000 0.0000 0.2493 x3  3 Tm 3.34, 3 Sm 3.40, 6 Sc 3.44
Sc2 0.0000 0.0000 0.4188 x3  3 Tm 3.35, 3 Sm 3.44, 6 Sc 3.44

***

# 6
Material: PdWS2
Method: DFT, PBE-GGA
State: optimized geometry

VASP energy, Ha/atom: -0.2565
Excess energy over the best structure of this formula in the dataset, meV per atom: 0

a b c (Å): 3.2147 5.7146 7.5738
angles (deg): 98.17 94.84 90.24
Last column: nearest neighbours and their distance in Å.
Space group P1 (No. 1)
One atom of each set of equivalent atoms:
Pd1 0.0000 0.0000 0.0000 x1  3 S 2.29-2.54
Pd2 0.1218 0.5076 0.0188 x1  2 S 2.38-2.39
W1 0.3847 0.2120 0.5152 x1  6 S 2.37-2.57
W2 0.8780 0.8135 0.5239 x1  6 S 2.39-2.56
S1 0.3266 0.5597 0.3334 x1  1 Pd 2.39, 3 W 2.46-2.57
S2 0.4172 0.9756 0.7504 x1  3 W 2.38-2.45, 2 Pd 2.40-2.54
S3 0.8489 0.0589 0.2932 x1  1 Pd 2.29, 3 W 2.37-2.42
S4 0.9331 0.4672 0.7053 x1  1 Pd 2.38, 3 W 2.47-2.56

***

# 7
Material: Ac4TlSn3
Method: DFT, PBE-GGA
State: optimized geometry

VASP energy, Ha/atom: -0.1648
Formation energy, eV per atom: -0.633

a b c (Å): 4.6159 5.0056 12.4473
angles (deg): 90.00 90.00 90.00
Last column: nearest neighbours and their distance in Å.
Space group Pmm2 (No. 25)
One atom of each set of equivalent atoms:
Ac1 0.0000 0.0000 0.0000 x1  5 Sn 3.45-3.48, 2 Tl 3.73
Ac2 0.0000 0.5000 0.4979 x1  6 Sn 3.47-3.71, 1 Tl 3.48
Ac3 0.5000 0.0000 0.7223 x1  3 Sn 3.47-3.72, 4 Tl 3.47
Ac4 0.5000 0.5000 0.2234 x1  7 Sn 3.47-3.71
Tl1 0.0000 0.5000 0.7773 x1  2 Sn 3.09
Sn1 0.0000 0.0000 0.2774 x1  2 Sn 3.10, 1 Ac 3.45
Sn2 0.5000 0.0000 0.4435 x1  2 Sn 3.10
Sn3 0.5000 0.5000 0.9429 x1  2 Tl 3.09

***

# 8
Material: CaGaPb2
Method: DFT, PBE-GGA
State: optimized geometry

VASP energy, Ha/atom: -0.1114
Excess energy over the best structure of this formula in the dataset, meV per atom: 352
Formation energy, eV per atom: 0.079

a b c (Å): 3.6395 3.6395 32.9056
angles (deg): 90.00 90.00 120.00
Last column: nearest neighbours and their distance in Å.
Space group R-3m (No. 166, hexagonal axes)
One atom of each set of equivalent atoms:
Ca1 0.0000 0.0000 0.0000 x3  2 Pb 3.22
Ga1 0.0000 0.0000 0.5000 x3  6 Pb 3.09
Pb1 0.0000 0.0000 0.0977 x6  3 Ga 3.09, 1 Ca 3.22

***

# 9
Material: Ce2ZnCoHg
Method: DFT, PBE-GGA
State: optimized geometry

VASP energy, Ha/atom: -0.1615
Formation energy, eV per atom: -0.284

a b c (Å): 7.9976 3.7895 8.0235
angles (deg): 90.00 113.43 90.00
Last column: nearest neighbours and their distance in Å.
Space group P2_1/m (No. 11)
One atom of each set of equivalent atoms:
Ce1 0.0011 0.2500 0.2854 x2  2 Co 2.65
Ce2 0.3326 0.2500 0.1019 x2  2 Co 2.66
Zn1 0.3613 0.7500 0.4340 x2  1 Co 2.56, 2 Zn 2.79
Co1 0.1060 0.7500 0.1161 x2  1 Zn 2.56, 4 Ce 2.65-2.66, 2 Co 2.72
Hg1 0.3200 0.2500 0.6886 x2  3 Zn 2.90-3.08, 3 Ce 3.23

***

# 10
Material: LaZr2Pd
Method: DFT, PBE-GGA
State: optimized geometry

VASP energy, Ha/atom: -0.2494
Excess energy over the best structure of this formula in the dataset, meV per atom: 71
Formation energy, eV per atom: 0.017

a b c (Å): 4.1588 4.1588 22.5179
angles (deg): 90.00 90.00 90.00
Last column: nearest neighbours and their distance in Å.
Space group I-42d (No. 122)
One atom of each set of equivalent atoms:
La1 0.0000 0.0000 0.0000 x4  4 Pd 2.94, 4 Zr 3.20
Zr1 0.2352 0.2500 0.6250 x8  4 Zr 2.86-3.03, 2 Pd 3.16, 2 La 3.20
Pd1 0.0000 0.0000 0.5000 x4  4 La 2.94, 4 Zr 3.16

***

# 11
Material: SiTeW2
Method: DFT, PBE-GGA
State: optimized geometry

VASP energy, Ha/atom: -0.2981
Excess energy over the best structure of this formula in the dataset, meV per atom: 213

a b c (Å): 6.4008 6.4008 6.4008
angles (deg): 90.00 90.00 90.00
Last column: nearest neighbours and their distance in Å.
Space group Fm-3m (No. 225)
One atom of each set of equivalent atoms:
Si1 0.0000 0.0000 0.0000 x4  8 W 2.77
Te1 0.0000 0.0000 0.5000 x4  8 W 2.77
W1 0.2500 0.2500 0.2500 x8  4 Te 2.77, 4 Si 2.77

***

# 12
Material: AcLa2Pm4
Method: DFT, PBE-GGA
State: optimized geometry

VASP energy, Ha/atom: -0.1654
Excess energy over the best structure of this formula in the dataset, meV per atom: 18
Formation energy, eV per atom: 0.209

a b c (Å): 7.1247 7.2012 10.8773
angles (deg): 89.99 89.99 74.11
Last column: nearest neighbours and their distance in Å.
Space group P-1 (No. 2)
One atom of each set of equivalent atoms:
Ac1 0.0000 0.0000 0.0000 x1  4 Pm 3.52-3.53, 2 La 3.56, 2 Ac 3.60
Ac2 0.0000 0.5000 0.0000 x1  2 Ac 3.60, 8 Pm 3.62-4.01
La1 0.0000 0.0000 0.5000 x1  8 Pm 3.51-3.92, 2 La 3.56
La2 0.5000 0.0000 0.0000 x1  2 Ac 3.56, 4 Pm 3.58
La3 0.5000 0.0000 0.5000 x1  4 Pm 3.43, 4 La 3.56-3.60
La4 0.5000 0.5000 0.5000 x1  8 Pm 3.50-3.88, 2 La 3.60
Pm1 0.1845 0.2741 0.2891 x2  2 La 3.43-3.51, 5 Pm 3.60-3.80, 1 Ac 3.62
Pm2 0.1860 0.2714 0.7120 x2  2 La 3.43-3.51, 5 Pm 3.60-3.80, 1 Ac 3.62
Pm3 0.3163 0.7344 0.2261 x2  3 La 3.50-3.91, 1 Ac 3.52, 5 Pm 3.60-3.80
Pm4 0.3177 0.7319 0.7748 x2  2 La 3.50-3.58, 1 Ac 3.53, 5 Pm 3.60-3.80

***

# 13
Material: Sr4Zn2O
Method: DFT, PBE-GGA
State: optimized geometry

VASP energy, Ha/atom: -0.1035

a b c (Å): 5.0001 5.0001 17.3070
angles (deg): 90.00 90.00 90.00
Last column: nearest neighbours and their distance in Å.
Space group I4/mmm (No. 139)
One atom of each set of equivalent atoms:
Sr1 0.0000 0.0000 0.1746 x4  1 O 3.02, 1 Zn 3.29
Sr2 0.0000 0.5000 0.0000 x4  2 O 2.50
Zn1 0.0000 0.0000 0.3646 x4  9 Sr 3.29-3.60
O1 0.0000 0.0000 0.0000 x2  4 Sr 2.50

***

# 14
Material: Cs2PuThO6
Method: DFT, PBE-GGA
State: optimized geometry

VASP energy, Ha/atom: -0.2928

a b c (Å): 8.9332 8.9332 8.9332
angles (deg): 90.00 90.00 90.00
Last column: nearest neighbours and their distance in Å.
Space group Fm-3m (No. 225)
One atom of each set of equivalent atoms:
Cs1 0.2500 0.2500 0.2500 x8  12 O 3.16
Pu1 0.0000 0.0000 0.0000 x4  6 O 2.11
Th1 0.0000 0.0000 0.5000 x4  6 O 2.35
O1 0.0000 0.0000 0.2365 x24  1 Pu 2.11, 1 Th 2.35

***

# 15
Material: La6AsS2Cl3
Method: DFT, PBE-GGA
State: optimized geometry

VASP energy, Ha/atom: -0.2135

a b c (Å): 7.2920 12.6031 7.2676
angles (deg): 90.00 109.44 90.00
Last column: nearest neighbours and their distance in Å.
Space group C2/m (No. 12)
One atom of each set of equivalent atoms:
La1 0.2324 0.0000 0.2294 x4  2 S 2.87, 1 As 2.96, 3 Cl 2.99-3.02
La2 0.2499 0.1709 0.7648 x8  2 S 2.88, 1 As 2.97, 3 Cl 3.05-3.06
As1 0.0000 0.5000 0.0000 x2  6 La 2.96-2.97
S1 0.0000 0.1682 0.0000 x4  6 La 2.87-2.88
Cl1 0.0000 0.0000 0.5000 x2  6 La 2.99-3.05
Cl2 0.0000 0.3411 0.5000 x4  6 La 3.02-3.06

***

# 16
Material: Co2IrPd
Method: DFT, PBE-GGA
State: optimized geometry

VASP energy, Ha/atom: -0.2480
Formation energy, eV per atom: 0.317

a b c (Å): 6.0084 6.0084 6.0084
angles (deg): 90.00 90.00 90.00
Last column: nearest neighbours and their distance in Å.
Space group F-43m (No. 216)
One atom of each set of equivalent atoms:
Co1 0.0000 0.0000 0.0000 x4  4 Co 2.60, 4 Pd 2.60
Co2 0.2500 0.2500 0.2500 x4  4 Ir 2.60, 4 Co 2.60
Ir1 0.0000 0.0000 0.5000 x4  4 Pd 2.60, 4 Co 2.60
Pd1 0.2500 0.2500 0.7500 x4  4 Co 2.60, 4 Ir 2.60

***

# 17
Material: Ta2Ag2Sn
Method: DFT, PBE-GGA
State: optimized geometry

VASP energy, Ha/atom: -0.2220
Excess energy over the best structure of this formula in the dataset, meV per atom: 35
Formation energy, eV per atom: 0.641

a b c (Å): 3.7688 3.7688 14.3342
angles (deg): 90.00 90.00 90.00
Last column: nearest neighbours and their distance in Å.
Space group I4/mmm (No. 139)
One atom of each set of equivalent atoms:
Ta1 0.0000 0.0000 0.0919 x4  1 Ta 2.63, 4 Ag 2.95
Ag1 0.0000 0.5000 0.2500 x4  4 Ag 2.66, 4 Ta 2.95
Sn1 0.0000 0.0000 0.5000 x2  8 Ta 2.97

***

# 18
Material: Dy5ScS6
Method: DFT, PBE-GGA
State: optimized geometry

VASP energy, Ha/atom: -0.2380

a b c (Å): 6.7068 11.6371 6.7003
angles (deg): 90.00 109.65 90.00
Last column: nearest neighbours and their distance in Å.
Space group C2/m (No. 12)
One atom of each set of equivalent atoms:
Dy1 0.0000 0.0000 0.0000 x2  6 S 2.74-2.80
Dy2 0.0000 0.1668 0.5000 x4  6 S 2.74-2.75
Dy3 0.0000 0.3301 0.0000 x4  6 S 2.74-2.78
Sc1 0.0000 0.5000 0.5000 x2  6 S 2.67-2.68
S1 0.2423 0.5000 0.2533 x4  1 Sc 2.68, 5 Dy 2.75-2.80
S2 0.2434 0.3376 0.7438 x8  1 Sc 2.67, 5 Dy 2.74-2.78

***

# 19
Material: LuZnInPd
Method: DFT, PBE-GGA
State: optimized geometry

VASP energy, Ha/atom: -0.1472
Formation energy, eV per atom: -0.574

a b c (Å): 6.7296 6.7296 6.7296
angles (deg): 90.00 90.00 90.00
Last column: nearest neighbours and their distance in Å.
Space group F-43m (No. 216)
One atom of each set of equivalent atoms:
Lu1 0.0000 0.0000 0.0000 x4  4 Pd 2.91, 4 Zn 2.91
Zn1 0.2500 0.2500 0.7500 x4  4 In 2.91, 4 Lu 2.91
In1 0.0000 0.0000 0.5000 x4  4 Zn 2.91, 4 Pd 2.91
Pd1 0.2500 0.2500 0.2500 x4  4 In 2.91, 4 Lu 2.91

***

# 20
Material: Na4PrDy3Se8
Method: DFT, PBE-GGA
State: optimized geometry

VASP energy, Ha/atom: -0.1812

a b c (Å): 8.3794 8.3794 21.0415
angles (deg): 90.00 90.00 120.00
Last column: nearest neighbours and their distance in Å.
Space group R-3m (No. 166, hexagonal axes)
One atom of each set of equivalent atoms:
Na1 0.0000 0.0000 0.0000 x3  6 Se 3.01
Na2 0.0000 0.5000 0.0000 x9  6 Se 3.08-3.09
Pr1 0.0000 0.0000 0.5000 x3  6 Se 2.97
Dy1 0.0000 0.5000 0.5000 x9  6 Se 2.89-2.90
Se1 0.0000 0.0000 0.2427 x6  3 Dy 2.90, 3 Na 3.08
Se2 0.0086 0.5043 0.7559 x18  2 Dy 2.89, 1 Pr 2.97, 3 Na 3.01-3.09

***

# 21
Material: CoCuBr
Method: DFT, PBE-GGA
State: optimized geometry

VASP energy, Ha/atom: -0.1404
Excess energy over the best structure of this formula in the dataset, meV per atom: 14

a b c (Å): 5.6335 3.2340 5.8339
angles (deg): 90.00 90.25 90.00
Last column: nearest neighbours and their distance in Å.
Space group Cm (No. 8)
One atom of each set of equivalent atoms:
Co1 0.0000 0.0000 0.0000 x2  3 Br 2.47, 3 Cu 2.51-2.52
Cu1 0.3297 0.0000 0.7116 x2  3 Co 2.51-2.52, 1 Br 2.54
Br1 0.3338 0.0000 0.2763 x2  3 Co 2.47, 1 Cu 2.54